The following is a DFT calculation (GGA-PBE) of ZnRe2Se2 after structural relaxation.

Calculated values
**Energy above the lowest structure with this stoichiometry**: 2.21 eV/f.u.
**Total magnetization**: 0.00 μB/cell
**Theoretical density**: 11.90 Mg/m³
**Total DFT energy (no corrections)**: -5.817 eV per atom

Geometry as extended XYZ:
```
10
Lattice="7.5677 0.0000 0.0000 0.0000 7.5677 0.0000 0.0000 0.0000 2.9027" Properties=species:S:1:pos:R:3 pbc="T T T"
Zn 0.0000 0.0000 0.0000
Zn 3.7839 3.7839 0.0000
Re 1.1256 2.6582 1.4514
Re 2.6582 6.4421 1.4514
Re 4.9095 1.1256 1.4514
Re 6.4421 4.9095 1.4514
Se 1.0821 4.8660 0.0000
Se 2.7018 1.0821 0.0000
Se 4.8660 6.4856 0.0000
Se 6.4856 2.7018 0.0000
```

The following is a DFT calculation (GGA-PBE) of KNa8Pb2 after structural relaxation.

Calculated values
**Energy above the lowest structure with this stoichiometry**: 0.30 eV/f.u.
**Total magnetization**: 0.00 μB/cell
**Formation energy from the elements**: -0.036 eV/atom
**Theoretical density**: 2.44 Mg/m³
**Total DFT energy (no corrections)**: -1.769 eV per atom

Geometry as extended XYZ:
```
11
Lattice="5.0742 -7.1132 0.0000 5.0742 7.1132 0.0000 -1.6950 0.0000 6.0049" Properties=species:S:1:pos:R:3 pbc="T T T"
K 0.0000 0.0000 0.0000
Na 1.1395 1.9464 3.5190
Na 5.0742 3.3153 0.0000
Na 1.1395 -1.9464 3.5190
Na 3.8203 0.0000 1.3319
Na 4.6331 0.0000 4.6730
Na 7.3139 1.9464 2.4858
Na 5.0742 -3.3153 0.0000
Na 7.3139 -1.9464 2.4858
Pb 4.2267 2.7291 3.0024
Pb 4.2267 -2.7291 3.0024
```

The following is a DFT calculation (GGA-PBE) of Pa2Al8Co after structural relaxation.

Calculated values
**Total magnetization**: 0.00 μB/cell
**Formation energy from the elements**: -0.337 eV/atom
**Theoretical density**: 6.02 Mg/m³
**Total DFT energy (no corrections)**: -5.432 eV per atom

Geometry as extended XYZ:
```
11
Lattice="4.2643 0.0000 0.0000 0.0000 4.2643 0.0000 0.0000 0.0000 11.1689" Properties=species:S:1:pos:R:3 pbc="T T T"
Pa 0.0000 0.0000 2.1659
Pa 0.0000 0.0000 9.0029
Al 0.0000 2.1321 0.0000
Al 0.0000 2.1321 4.2863
Al 0.0000 2.1321 6.8826
Al 2.1321 0.0000 0.0000
Al 2.1321 0.0000 4.2863
Al 2.1321 0.0000 6.8826
Al 2.1321 2.1321 2.1842
Al 2.1321 2.1321 8.9847
Co 0.0000 0.0000 5.5844
```

The following is a DFT calculation (GGA-PBE) of Li4Cd2Ga after structural relaxation.

Calculated values
**Energy above the lowest structure with this stoichiometry**: 0.00 eV/f.u.
**Total magnetization**: 0.00 μB/cell
**Formation energy from the elements**: -0.201 eV/atom
**Theoretical density**: 4.22 Mg/m³
**Total DFT energy (no corrections)**: -1.988 eV per atom

Geometry as extended XYZ:
```
7
Lattice="2.3103 1.3339 6.8545 -2.3103 1.3339 6.8545 0.0000 -2.6677 6.8545" Properties=species:S:1:pos:R:3 pbc="T T T"
Li 0.0000 0.0000 1.6747
Li 0.0000 0.0000 7.4949
Li 0.0000 0.0000 13.0686
Li 0.0000 0.0000 18.8889
Cd 0.0000 0.0000 4.6558
Cd 0.0000 0.0000 15.9078
Ga 0.0000 0.0000 10.2818
```

The following is a DFT calculation (GGA-PBE) of BaU4Ag3Se12 after structural relaxation.

Calculated values
**Total magnetization**: 5.00 μB/cell
**Theoretical density**: 6.95 Mg/m³
**Total DFT energy (no corrections)**: -5.765 eV per atom

Geometry as extended XYZ:
```
20
Lattice="-5.2050 5.2050 5.2050 5.2050 -5.2050 5.2050 5.2050 5.2050 -5.2050" Properties=species:S:1:pos:R:3 pbc="T T T"
Ba 0.0000 0.0000 0.0000
U 2.6025 2.6025 -2.6025
U 2.6025 -2.6025 2.6025
U -2.6025 2.6025 2.6025
U 2.6025 2.6025 2.6025
Ag 5.2050 0.0000 0.0000
Ag 0.0000 5.2050 0.0000
Ag 0.0000 0.0000 5.2050
Se 5.2050 -2.0592 3.3854
Se 3.1458 1.8196 0.0000
Se 7.2643 1.8196 0.0000
Se 3.3854 5.2050 -2.0592
Se 1.8196 0.0000 3.1458
Se 0.0000 3.1458 1.8196
Se 5.2050 2.0592 3.3854
Se 3.3854 5.2050 2.0592
Se 1.8196 0.0000 7.2643
Se -2.0592 3.3854 5.2050
Se 2.0592 3.3854 5.2050
Se 0.0000 7.2643 1.8196
```

The following is a DFT calculation (GGA-PBE) of TeAu2Br after structural relaxation.

Calculated values
**Energy above the lowest structure with this stoichiometry**: 2.03 eV/f.u.
**Total magnetization**: 0.00 μB/cell
**Theoretical density**: 10.86 Mg/m³
**Total DFT energy (no corrections)**: -2.366 eV per atom

Geometry as extended XYZ:
```
4
Lattice="0.0000 3.5821 3.5821 3.5821 0.0000 3.5821 3.5821 3.5821 0.0000" Properties=species:S:1:pos:R:3 pbc="T T T"
Te 0.0000 0.0000 0.0000
Au 1.7911 1.7911 1.7911
Au 5.3732 5.3732 5.3732
Br 3.5821 3.5821 3.5821
```

The following is a DFT calculation (GGA-PBE) of MgAsOs2 after structural relaxation.

Calculated values
**Energy above the lowest structure with this stoichiometry**: 0.75 eV/f.u.
**Total magnetization**: 0.00 μB/cell
**Formation energy from the elements**: 0.323 eV/atom
**Theoretical density**: 13.76 Mg/m³
**Total DFT energy (no corrections)**: -6.853 eV per atom

Geometry as extended XYZ:
```
4
Lattice="0.0000 3.0700 3.0700 3.0700 0.0000 3.0700 3.0700 3.0700 0.0000" Properties=species:S:1:pos:R:3 pbc="T T T"
Mg 0.0000 0.0000 0.0000
As 3.0700 3.0700 3.0700
Os 1.5350 1.5350 1.5350
Os 4.6050 4.6050 4.6050
```

The following is a DFT calculation (GGA-PBE) of MnTcSb2H after structural relaxation.

Calculated values
**Total magnetization**: 2.08 μB/cell
**Theoretical density**: 6.18 Mg/m³
**Total DFT energy (no corrections)**: -4.996 eV per atom

Geometry as extended XYZ:
```
5
Lattice="4.8796 0.0000 0.0000 0.0000 4.8796 0.0000 0.0000 0.0000 4.4858" Properties=species:S:1:pos:R:3 pbc="T T T"
Mn 0.0000 0.0000 0.0000
Tc 0.0000 0.0000 2.2429
Sb 0.0000 2.4398 0.0000
Sb 2.4398 0.0000 0.0000
H 2.4398 2.4398 2.2429
```

The following is a DFT calculation (GGA-PBE) of MnCu5 after structural relaxation.

Calculated values
**Total magnetization**: 7.69 μB/cell
**Formation energy from the elements**: 0.057 eV/atom
**Theoretical density**: 8.38 Mg/m³
**Total DFT energy (no corrections)**: -4.885 eV per atom

Geometry as extended XYZ:
```
12
Lattice="3.5805 0.0000 0.0000 0.0000 7.8272 0.0000 0.0000 0.0000 5.2716" Properties=species:S:1:pos:R:3 pbc="T T T"
Mn 0.8951 1.9568 0.6466
Mn 2.6854 5.8704 4.6250
Cu 0.8951 1.9568 3.2795
Cu 0.8951 4.5646 0.6723
Cu 0.8951 4.5598 3.2853
Cu 0.8951 7.1761 0.6723
Cu 0.8951 7.1809 3.2853
Cu 2.6854 0.6463 1.9863
Cu 2.6854 0.6511 4.5993
Cu 2.6854 3.2673 1.9863
Cu 2.6854 3.2625 4.5993
Cu 2.6854 5.8704 1.9921
```

The following is a DFT calculation (GGA-PBE) of YSc2Te after structural relaxation.

Calculated values
**Total magnetization**: 0.00 μB/cell
**Theoretical density**: 5.26 Mg/m³
**Total DFT energy (no corrections)**: -5.951 eV per atom

Geometry as extended XYZ:
```
4
Lattice="4.6302 0.0000 0.0000 0.0000 4.6302 0.0000 0.0000 0.0000 4.5095" Properties=species:S:1:pos:R:3 pbc="T T T"
Y 0.0000 0.0000 0.0000
Sc 0.0000 2.3151 2.2548
Sc 2.3151 0.0000 2.2548
Te 2.3151 2.3151 0.0000
```

The following is a DFT calculation (GGA-PBE) of Ba2AlInO after structural relaxation.

Calculated values
**Total magnetization**: 0.00 μB/cell
**Theoretical density**: 5.06 Mg/m³
**Total DFT energy (no corrections)**: -4.058 eV per atom

Geometry as extended XYZ:
```
5
Lattice="6.0173 0.0000 0.0000 0.0000 6.0173 0.0000 0.0000 0.0000 3.9157" Properties=species:S:1:pos:R:3 pbc="T T T"
Ba 0.0000 3.0086 0.0000
Ba 3.0086 0.0000 0.0000
Al 0.0000 0.0000 1.9579
In 3.0086 3.0086 1.9579
O 0.0000 0.0000 0.0000
```

The following is a DFT calculation (GGA-PBE) of Pm3Cd4In4 after structural relaxation.

Calculated values
**Energy above the lowest structure with this stoichiometry**: 0.21 eV/f.u.
**Total magnetization**: 0.00 μB/cell
**Formation energy from the elements**: -0.351 eV/atom
**Theoretical density**: 7.83 Mg/m³
**Total DFT energy (no corrections)**: -2.975 eV per atom

Geometry as extended XYZ:
```
11
Lattice="3.7617 0.0000 0.0000 0.0010 4.9745 0.0000 1.8767 2.1896 15.2296" Properties=species:S:1:pos:R:3 pbc="T T T"
Pm 0.0000 0.0000 0.0000
Pm 1.8801 4.6754 10.9206
Pm 3.7592 2.4887 4.3090
Cd 1.8818 2.4137 7.2374
Cd 1.8877 4.9714 2.8174
Cd 3.7516 2.1927 12.4122
Cd 3.7575 4.7504 7.9921
In 1.8728 4.9587 5.6280
In 1.8722 2.4832 1.4502
In 3.7671 4.6809 13.7794
In 3.7666 2.2054 9.6016
```